Entry from Alexandria: a relaxed Ac8Zn3GaI4 crystal (GGA-PBE).

POSCAR file:
```
Ac8Zn3GaI4
1.0
9.234 0.000 0.000
0.000 9.722 0.342
-4.617 -4.613 6.531
Ac Ga I Zn
8 1 4 3
Direct
0.237 0.713 0.976
0.262 0.287 0.024
0.738 0.713 0.976
0.237 0.713 0.475
0.763 0.287 0.024
0.262 0.287 0.525
0.738 0.713 0.475
0.763 0.287 0.525
0.000 0.500 0.000
0.000 0.000 0.500
0.500 0.000 0.000
0.500 0.000 0.500
0.000 0.000 0.000
0.500 0.500 0.000
0.000 0.500 0.500
0.500 0.500 0.500
```

Summary:
Formation energy (no corrections) (meV/atom): -606
Symmetry: R-3m, No. 166
Size of the total moment (μB per cell): 0.00
DOS at the Fermi energy (states/eV/cell): 19.56
Energy (eV per cell): -55.61